(i)
# LaTl3O GGA-PBE optimized geometry
# **Magnetic moment**: 0.000 μB per atom
data_LaTl3O
_space_group_name_H-M_alt 'P m -3 m'
_space_group_IT_number 221
_space_group_name_Hall '-P 4 2 3'
_cell_length_a 6.2171
_cell_length_b 6.2171
_cell_length_c 6.2171
_cell_angle_alpha 90.00
_cell_angle_beta 90.00
_cell_angle_gamma 90.00
loop_
_atom_site_label
_atom_site_type_symbol
_atom_site_fract_x
_atom_site_fract_y
_atom_site_fract_z
La1 La 0.0000 0.0000 0.0000
Tl1 Tl 0.0000 0.0000 0.5000
O1 O 0.5000 0.5000 0.5000

=====

(ii)
# LaTl3O GGA-PBE optimized geometry
# **Magnetic moment**: 0.000 μB per atom
data_LaTl3O
_space_group_name_H-M_alt 'P m -3 m'
_space_group_IT_number 221
_space_group_name_Hall '-P 4 2 3'
_cell_length_a 5.0963
_cell_length_b 5.0963
_cell_length_c 5.0963
_cell_angle_alpha 90.00
_cell_angle_beta 90.00
_cell_angle_gamma 90.00
loop_
_atom_site_label
_atom_site_type_symbol
_atom_site_fract_x
_atom_site_fract_y
_atom_site_fract_z
La1 La 0.0000 0.0000 0.0000
Tl1 Tl 0.0000 0.5000 0.5000
O1 O 0.5000 0.5000 0.5000

=====

Which one sits at the top of the stability order? (ii) does.

=====

(i)
# La2TlO2 GGA-PBE optimized geometry
# **Magnetic moment**: 0.000 μB per atom
data_La2TlO2
_space_group_name_H-M_alt 'I 4/m m m'
_space_group_IT_number 139
_space_group_name_Hall '-I 4 2'
_cell_length_a 4.9390
_cell_length_b 4.9390
_cell_length_c 10.4626
_cell_angle_alpha 90.00
_cell_angle_beta 90.00
_cell_angle_gamma 90.00
loop_
_atom_site_label
_atom_site_type_symbol
_atom_site_fract_x
_atom_site_fract_y
_atom_site_fract_z
La1 La 0.0000 0.5000 0.2500
Tl1 Tl 0.0000 0.0000 0.0000
O1 O 0.0000 0.0000 0.2601

=====

(ii)
# La2TlO2 GGA-PBE optimized geometry
# **Magnetic moment**: 0.000 μB per atom
data_La2TlO2
_space_group_name_H-M_alt 'P 4/m b m'
_space_group_IT_number 127
_space_group_name_Hall '-P 4 2ab'
_cell_length_a 7.5952
_cell_length_b 7.5952
_cell_length_c 3.2976
_cell_angle_alpha 90.00
_cell_angle_beta 90.00
_cell_angle_gamma 90.00
loop_
_atom_site_label
_atom_site_type_symbol
_atom_site_fract_x
_atom_site_fract_y
_atom_site_fract_z
La1 La 0.1551 0.3449 0.0000
Tl1 Tl 0.0000 0.0000 0.5000
O1 O 0.1271 0.6271 0.5000

=====

(iii)
# La2TlO2 GGA-PBE optimized geometry
# **Magnetic moment**: 0.239 μB per atom
data_La2TlO2
_space_group_name_H-M_alt 'I 4/m m m'
_space_group_IT_number 139
_space_group_name_Hall '-I 4 2'
_cell_length_a 4.1276
_cell_length_b 4.1276
_cell_length_c 14.1455
_cell_angle_alpha 90.00
_cell_angle_beta 90.00
_cell_angle_gamma 90.00
loop_
_atom_site_label
_atom_site_type_symbol
_atom_site_fract_x
_atom_site_fract_y
_atom_site_fract_z
La1 La 0.0000 0.0000 0.1657
Tl1 Tl 0.0000 0.0000 0.5000
O1 O 0.0000 0.5000 0.2500

=====

Which one sits at the top of the stability order? (iii) does.

=====

(i)
# LaTlO4 GGA-PBE optimized geometry
# **Magnetic moment**: 0.000 μB per atom
data_LaTlO4
_space_group_name_H-M_alt 'C 1 m 1'
_space_group_IT_number 8
_space_group_name_Hall 'C -2y'
_cell_length_a 7.1022
_cell_length_b 3.8565
_cell_length_c 6.5975
_cell_angle_alpha 90.00
_cell_angle_beta 94.89
_cell_angle_gamma 90.00
loop_
_atom_site_label
_atom_site_type_symbol
_atom_site_fract_x
_atom_site_fract_y
_atom_site_fract_z
La1 La 0.0000 0.0000 0.0000
Tl1 Tl 0.3587 0.0000 0.4639
O1 O 0.0329 0.0000 0.3832
O2 O 0.0940 0.5000 0.7670
O3 O 0.2755 0.5000 0.6785
O4 O 0.3302 0.0000 0.0909

=====

(ii)
# LaTlO4 GGA-PBE optimized geometry
# **Magnetic moment**: 0.000 μB per atom
data_LaTlO4
_space_group_name_H-M_alt 'C 1 2/m 1'
_space_group_IT_number 12
_space_group_name_Hall '-C 2y'
_cell_length_a 6.2635
_cell_length_b 4.7330
_cell_length_c 6.0798
_cell_angle_alpha 90.00
_cell_angle_beta 97.69
_cell_angle_gamma 90.00
loop_
_atom_site_label
_atom_site_type_symbol
_atom_site_fract_x
_atom_site_fract_y
_atom_site_fract_z
La1 La 0.0000 0.0000 0.0000
Tl1 Tl 0.0000 0.5000 0.5000
O1 O 0.2192 0.2427 0.7445

=====

Which one sits at the top of the stability order? (i) does.